Record 1
The following is a PBE calculation of a relaxed structure of Dy6Cd5Cu, from Alexandria via LeMat-Bulk.

Lattice parameters (Å, degrees): 8.265 8.265 7.459 90.00 90.00 143.21
Fractional positions:
Dy1 0.000 0.000 0.236
Dy2 0.000 0.000 0.764
Dy3 0.340 0.660 0.244
Dy4 0.340 0.660 0.756
Dy5 0.660 0.340 0.244
Dy6 0.660 0.340 0.756
Cd1 0.170 0.830 0.500
Cd2 0.173 0.827 0.000
Cd3 0.500 0.500 0.500
Cd4 0.827 0.173 0.000
Cd5 0.830 0.170 0.500
Cu1 0.500 0.500 0.000

Calculated values
Symmetry ... Cmmm
Formation energy ... -286 meV per atom
Total energy ... -39.7 eV per cell

=====

Record 2
The following is a PBE calculation of a relaxed structure of Dy5CdCu2, from Alexandria via LeMat-Bulk.

Lattice parameters (Å, degrees): 8.535 8.535 8.535 124.72 124.72 82.01
Fractional positions:
Dy1 0.000 0.000 0.000
Dy2 0.015 0.515 0.813
Dy3 0.202 0.015 0.500
Dy4 0.298 0.798 0.813
Dy5 0.485 0.298 0.500
Dy6 0.500 0.500 0.000
Dy7 0.515 0.702 0.500
Dy8 0.702 0.202 0.187
Dy9 0.798 0.985 0.500
Dy10 0.985 0.485 0.187
Cd1 0.250 0.250 0.000
Cd2 0.750 0.750 0.000
Cu1 0.128 0.372 0.500
Cu2 0.372 0.872 0.244
Cu3 0.628 0.128 0.756
Cu4 0.872 0.628 0.500

Calculated values
Symmetry ... I4/mcm
Formation energy ... -175 meV per atom
Total energy ... -67.0 eV per cell

=====

Record 3
The following is a PBE calculation of a relaxed structure of Dy4CdCu, from Alexandria via LeMat-Bulk.

Lattice parameters (Å, degrees): 6.287 8.900 6.013 90.00 106.60 90.00
Fractional positions:
Dy1 0.109 0.168 0.122
Dy2 0.109 0.332 0.622
Dy3 0.370 0.656 0.922
Dy4 0.370 0.844 0.422
Dy5 0.630 0.156 0.578
Dy6 0.630 0.344 0.078
Dy7 0.891 0.668 0.378
Dy8 0.891 0.832 0.878
Cd1 0.500 0.000 0.000
Cd2 0.500 0.500 0.500
Cu1 0.000 0.000 0.500
Cu2 0.000 0.500 0.000

Calculated values
Energy above the most stable polymorph in this dataset ... 158 meV per atom
Symmetry ... P2_1/c
Formation energy ... 4 meV per atom
Total energy ... -46.8 eV per cell

=====

Record 4
The following is a PBE calculation of a relaxed structure of Dy4Cd5Cu2, from Alexandria via LeMat-Bulk.

Lattice parameters (Å, degrees): 7.628 3.568 9.624 90.00 93.87 90.00
Fractional positions:
Dy1 0.166 0.000 0.357
Dy2 0.233 0.000 0.944
Dy3 0.767 0.000 0.056
Dy4 0.834 0.000 0.643
Cd1 0.184 0.500 0.654
Cd2 0.446 0.500 0.186
Cd3 0.500 0.500 0.500
Cd4 0.554 0.500 0.814
Cd5 0.816 0.500 0.346
Cu1 0.061 0.500 0.129
Cu2 0.939 0.500 0.871

Calculated values
Symmetry ... P2/m
Formation energy ... -271 meV per atom
Total energy ... -34.2 eV per cell